! Pm3GeTe2 | Alexandria via LeMat-Bulk | PBE | relaxed; values from VASP
! - Energy relative to the elements, uncorrected: -1.3225 eV per atom
! - Total moment: 0.00 μB per formula unit
&SYSTEM
  ibrav = 0, nat = 12, ntyp = 3
/
ATOMIC_SPECIES
Pm 145.00 Pm.upf
Ge 72.64 Ge.upf
Te 127.60 Te.upf
CELL_PARAMETERS angstrom
3.8608 -6.6044 0.0000
3.8608 6.6044 0.0000
-2.5495 0.0000 7.1527
ATOMIC_POSITIONS angstrom
Pm 1.9304 3.3022 0.0000
Pm 0.4442 0.9874 3.5499
Pm -0.8306 -0.9874 7.1263
Pm 0.6556 -3.3022 3.5764
Pm 6.0026 0.9874 0.0264
Pm 4.7278 -0.9874 3.6028
Ge 3.2234 5.4378 1.7882
Ge 1.9486 -5.4378 5.3645
Te 1.9486 3.2026 5.3645
Te 3.2234 1.0772 1.7882
Te 1.9486 -1.0772 5.3645
Te 3.2234 -3.2026 1.7882